SrP2Cl, relaxed, DFT PBE; raw total energy = -3.849 eV/atom; total magnetic moment = 0.00 μB per formula unit
1.0
7.111 0.000 0.000
0.000 7.111 0.000
0.000 0.000 7.111
Sr P Cl
4 8 4
Direct
0.000 0.000 0.000
0.000 0.500 0.500
0.500 0.000 0.500
0.500 0.500 0.000
0.000 0.000 0.500
0.000 0.500 0.000
0.250 0.250 0.250
0.250 0.750 0.750
0.500 0.000 0.000
0.500 0.500 0.500
0.750 0.250 0.750
0.750 0.750 0.250
0.250 0.250 0.750
0.250 0.750 0.250
0.750 0.250 0.250
0.750 0.750 0.750

---

SrPCl, relaxed, DFT PBE; raw total energy = -3.679 eV/atom; total magnetic moment = 2.00 μB per formula unit
1.0
4.449 0.000 0.000
-2.225 3.853 0.000
0.000 0.000 6.655
Sr P Cl
1 1 1
Direct
0.000 0.000 0.000
0.333 0.667 0.738
0.667 0.333 0.208

---

SrPCl, relaxed, DFT PBE; raw total energy = -4.425 eV/atom; total magnetic moment = 0.00 μB per formula unit
1.0
16.174 0.000 0.000
0.000 4.145 0.000
-0.725 0.000 5.326
Sr P Cl
4 4 4
Direct
0.000 0.000 0.000
0.235 0.000 0.389
0.500 0.500 0.000
0.735 0.500 0.389
0.387 0.500 0.465
0.415 0.000 0.631
0.887 0.000 0.465
0.915 0.500 0.631
0.101 0.500 0.312
0.174 0.000 0.862
0.601 0.000 0.312
0.674 0.500 0.862

---

SrPCl, relaxed, DFT PBE; raw total energy = -3.667 eV/atom; total magnetic moment = 2.00 μB per formula unit
1.0
7.233 0.000 0.000
0.000 7.233 0.000
0.000 0.000 7.233
Sr P Cl
4 4 4
Direct
0.000 0.000 0.000
0.000 0.500 0.500
0.500 0.000 0.500
0.500 0.500 0.000
0.250 0.250 0.750
0.250 0.750 0.250
0.750 0.250 0.250
0.750 0.750 0.750
0.250 0.250 0.250
0.250 0.750 0.750
0.750 0.250 0.750
0.750 0.750 0.250

---

SrPCl6, relaxed, DFT PBE; raw total energy = -3.380 eV/atom; total magnetic moment = 0.88 μB per formula unit
1.0
3.243 1.872 5.938
-3.243 1.872 5.938
0.000 -3.744 5.938
Sr P Cl
1 1 6
Direct
0.000 0.000 0.000
0.500 0.500 0.500
0.120 0.698 0.460
0.302 0.540 0.880
0.460 0.120 0.698
0.540 0.880 0.302
0.698 0.460 0.120
0.880 0.302 0.540

---

SrP3Cl, relaxed, DFT PBE; raw total energy = -2.559 eV/atom; total magnetic moment = 2.47 μB per formula unit
1.0
5.746 0.000 0.000
0.000 5.746 0.000
0.000 0.000 5.746
Sr P Cl
1 3 1
Direct
0.000 0.000 0.000
0.000 0.000 0.500
0.000 0.500 0.000
0.500 0.000 0.000
0.500 0.500 0.500